Record 1
NaAcTeO4 | GGA-PBE | optimized geometry

Cell and atoms, written as extended XYZ:
```
14
Lattice="6.045 0.000 0.000 0.000 5.962 0.000 -2.450 0.000 6.688" Properties=species:S:1:pos:R:3 pbc="T T T"
Na 0.320 1.490 1.121
Na 3.276 4.471 5.567
Ac 0.271 4.471 3.606
Ac 3.324 1.490 3.082
Te 0.751 1.490 5.661
Te 2.844 4.471 1.027
O -0.370 1.490 3.742
O -0.596 4.471 5.966
O 1.723 3.110 1.798
O 1.723 5.833 1.798
O 1.872 0.129 4.890
O 1.872 2.852 4.890
O 4.192 1.490 0.722
O 3.966 4.471 2.945
```

Properties
formation energy from raw total energies	-14.379	eV/f.u.
space group	P2_1/m

=====

Record 2
ZrZnSb2 | GGA-PBE | optimized geometry

Cell and atoms, written as extended XYZ:
```
4
Lattice="5.148 -1.644 0.000 5.148 1.644 0.000 -0.675 0.000 5.412" Properties=species:S:1:pos:R:3 pbc="T T T"
Zr 0.000 0.000 0.000
Zn 4.810 0.000 2.706
Sb 2.190 0.000 4.132
Sb 7.430 0.000 1.280
```

Properties
formation energy from raw total energies	-0.318	eV/f.u.
space group	C2/m

=====

Record 3
YErI2 | GGA-PBE | optimized geometry

Cell and atoms, written as extended XYZ:
```
4
Lattice="1.922 1.109 10.609 -1.922 1.109 10.609 0.000 -2.219 10.609" Properties=species:S:1:pos:R:3 pbc="T T T"
Y 0.000 0.000 0.000
Er 0.000 0.000 15.913
I 0.000 0.000 12.821
I 0.000 0.000 19.006
```

Properties
formation energy from raw total energies	-2.474	eV/f.u.
space group	R-3m

=====

> Look up the formation energy from raw total energies of the third one.

-2.474 eV/f.u.

=====

> Number 2 is which compound?

ZrZnSb2